1.
DFT (GGA-PBE) results for a relaxed CsNbFe3 crystal.

Results
Its total energy is -22.83 eV per formula unit.

Lattice parameters (Å, degrees): 4.6707 4.6707 4.6707 90.00 90.00 90.00
With the nearest neighbours (Å) after each atom.
Positions (direct):
Cs (0.0000, 0.0000, 0.0000)  6 Fe 2.34
Nb (0.5000, 0.5000, 0.5000)  12 Fe 3.30
Fe (0.0000, 0.5000, 0.0000)  2 Cs 2.34
Fe (0.0000, 0.0000, 0.5000)  2 Cs 2.34
Fe (0.5000, 0.0000, 0.0000)  2 Cs 2.34

---

2.
DFT (GGA-PBE) results for a relaxed HfMnPb2 crystal.

Results
The relative energy among the computed polymorphs comes out at 196.3 meV per atom. Its total energy is -24.00 eV per formula unit.

Lattice parameters (Å, degrees): 4.8903 4.8903 4.8903 60.00 60.00 60.00
With the nearest neighbours (Å) after each atom.
Positions (direct):
Pb (0.2500, 0.2500, 0.2500)  4 Hf 2.99, 4 Mn 2.99
Pb (0.7500, 0.7500, 0.7500)  4 Mn 2.99, 4 Hf 2.99
Mn (0.0000, 0.0000, 0.0000)  8 Pb 2.99
Hf (0.5000, 0.5000, 0.5000)  8 Pb 2.99

---

- What is the formula in the first record?
  CsNbFe3

---

- Which formula does entry 1 have?
  CsNbFe3